# Cr2BiIrO8 PBE with a Hubbard U relaxed
# **Space group**: Cmmm, No. 65
# **Mass density**: 7.5 g cm⁻³
# **Uncorrected energy**: -82.7 eV for the cell shown
data_Cr2BiIrO8
_cell_length_a 4.666
_cell_length_b 4.663
_cell_length_c 6.410
_cell_angle_alpha 90.00
_cell_angle_beta 90.00
_cell_angle_gamma 90.71
_symmetry_space_group_name_H-M 'P 1'
_symmetry_Int_Tables_number 1
_symmetry_space_group_name_Hall 'P 1'
loop_
_atom_site_label
_atom_site_type_symbol
_atom_site_fract_x
_atom_site_fract_y
_atom_site_fract_z
Ir1 Ir 0.000 0.000 0.000
O1 O 0.802 0.199 0.771
O2 O 0.198 0.801 0.771
O3 O 0.677 0.678 0.500
O4 O 0.301 0.300 0.000
O5 O 0.323 0.322 0.500
O6 O 0.699 0.700 0.000
O7 O 0.198 0.801 0.229
O8 O 0.802 0.199 0.229
Cr1 Cr 0.500 0.500 0.758
Cr2 Cr 0.500 0.500 0.242
Bi1 Bi 0.000 0.000 0.500